First-principles (SCAN) data for GaHg2Pb2 at its PBEsol-relaxed geometry, as listed in Alexandria.

- M_tot (Bohr magnetons per cell) = 0.00
- density of states at the Fermi level (states/eV/cell) = 4.41
- calculated total energy (eV/cell) = -607.286
- symmetry = No. 127
- ΔH_f (0 K) (eV/atom) = 0.12

POSCAR file:
```
GaHg2Pb2
1.0
7.266 0.000 0.000
0.000 7.266 0.000
0.000 0.000 4.824
Ga Hg Pb
2 4 4
Direct
0.000 0.000 0.000
0.500 0.500 0.000
0.142 0.358 0.000
0.358 0.858 0.000
0.642 0.142 0.000
0.858 0.642 0.000
0.170 0.670 0.500
0.330 0.170 0.500
0.670 0.830 0.500
0.830 0.330 0.500
```